A plane-wave DFT calculation with GGA-PBE was carried out for a relaxed structure of AcTmAl2Si2.

a = 4.2198 Å, b = 4.2198 Å, c = 8.6464 Å
α = 90.00°, β = 90.00°, γ = 120.00°
With the nearest neighbours (Å) after each atom.
Space group P-3m1 (No. 164)
Unique sites:
Ac 0.0000 0.0000 0.0000 x1  6 Al 3.35, 6 Si 3.47
Tm 0.0000 0.0000 0.5000 x1  6 Si 3.06, 6 Al 3.17
Al 0.3333 0.6667 0.7345 x2  3 Si 2.44
Si 0.3333 0.6667 0.2852 x2  3 Al 2.44

- Electronic total energy: -0.3697 Ry per atom
- Formation energy from raw total energies: -545 meV/atom

A plane-wave DFT calculation with GGA-PBE was carried out for a relaxed structure of AcTmAl2Si.

a = 4.4424 Å, b = 4.5328 Å, c = 12.1737 Å
α = 90.00°, β = 90.00°, γ = 90.00°
With the nearest neighbours (Å) after each atom.
Space group Imm2 (No. 44)
Unique sites:
Ac 0.0000 0.0000 0.0000 x2  4 Si 3.40, 8 Al 3.44-3.78, 2 Tm 3.72
Tm 0.0000 0.5000 0.7576 x2  2 Si 2.81, 2 Al 2.90
Al 0.0000 0.0000 0.6088 x2  1 Si 2.56, 2 Al 2.80
Al 0.0000 0.5000 0.2487 x2  2 Al 2.80, 2 Si 2.91
Si 0.0000 0.0000 0.3988 x2  1 Al 2.56, 2 Tm 2.81

- Electronic total energy: -0.3491 Ry per atom
- Formation energy from raw total energies: -452 meV/atom

A plane-wave DFT calculation with GGA-PBE was carried out for a relaxed structure of AcAl8Si2W.

a = 9.1998 Å, b = 5.5224 Å, c = 9.0638 Å
α = 90.00°, β = 108.31°, γ = 90.00°
With the nearest neighbours (Å) after each atom.
Space group C2/m (No. 12)
Unique sites:
Ac 0.0000 0.0000 0.0000 x2  6 Al 3.11-3.14
Al 0.1540 0.0000 0.4568 x4  5 Al 2.84-3.17, 1 Si 2.93, 1 W 3.08
Al 0.1627 0.5000 0.0021 x4  2 Si 2.61-2.71, 4 Al 2.75-2.80
Al 0.1672 0.2446 0.7365 x8  1 W 2.62, 2 Si 2.62-2.74, 5 Al 2.70-2.84
Si 0.0860 0.5000 0.2560 x4  1 W 2.57, 6 Al 2.61-2.74
W 0.0000 0.5000 0.5000 x2  2 Si 2.57, 4 Al 2.62

- Electronic total energy: -0.3536 Ry per atom
- Formation energy from raw total energies: 9 meV/atom

A plane-wave DFT calculation with GGA-PBE was carried out for a relaxed structure of Ac2Al3Zn4Si.

a = 4.4500 Å, b = 4.4500 Å, c = 10.6419 Å
α = 90.00°, β = 90.00°, γ = 90.00°
With the nearest neighbours (Å) after each atom.
Space group P-4m2 (No. 115)
Unique sites:
Ac 0.0000 0.5000 0.2488 x2  8 Zn 3.39-3.48, 6 Al 3.41-3.46, 2 Si 3.46
Al 0.0000 0.0000 0.0000 x1  4 Zn 2.62
Al 0.0000 0.5000 0.6279 x2  5 Zn 2.58-2.61
Zn 0.0000 0.0000 0.5000 x1  4 Al 2.61
Zn 0.0000 0.5000 0.8699 x2  3 Al 2.58-2.62, 2 Si 2.62
Zn 0.5000 0.5000 0.5000 x1  4 Al 2.61
Si 0.5000 0.5000 0.0000 x1  4 Zn 2.62

- Electronic total energy: -0.2468 Ry per atom
- Formation energy from raw total energies: -362 meV/atom

A plane-wave DFT calculation with GGA-PBE was carried out for a relaxed structure of Ac2Al4Zn3Si.

a = 4.4679 Å, b = 4.4679 Å, c = 10.6347 Å
α = 90.00°, β = 90.00°, γ = 90.00°
With the nearest neighbours (Å) after each atom.
Space group P-4m2 (No. 115)
Unique sites:
Ac 0.0000 0.5000 0.2465 x2  8 Al 3.41-3.50, 6 Zn 3.41-3.44, 2 Si 3.44
Al 0.0000 0.0000 0.5000 x1  4 Zn 2.64
Al 0.0000 0.5000 0.8736 x2  3 Zn 2.57-2.61, 2 Si 2.61
Al 0.5000 0.5000 0.5000 x1  4 Zn 2.64
Zn 0.0000 0.0000 0.0000 x1  4 Al 2.61
Zn 0.0000 0.5000 0.6322 x2  5 Al 2.57-2.64
Si 0.5000 0.5000 0.0000 x1  4 Al 2.61

- Electronic total energy: -0.2656 Ry per atom
- Formation energy from raw total energies: -370 meV/atom

A plane-wave DFT calculation with GGA-PBE was carried out for a relaxed structure of Ac2Al4ZnSi3.

a = 4.4454 Å, b = 4.4454 Å, c = 10.6162 Å
α = 90.00°, β = 90.00°, γ = 90.00°
With the nearest neighbours (Å) after each atom.
Space group P-4m2 (No. 115)
Unique sites:
Ac 0.0000 0.5000 0.2454 x2  8 Al 3.39-3.50, 6 Si 3.42-3.43, 2 Zn 3.42
Al 0.0000 0.0000 0.5000 x1  4 Si 2.60
Al 0.0000 0.5000 0.8741 x2  2 Zn 2.59, 3 Si 2.59-2.63
Al 0.5000 0.5000 0.5000 x1  4 Si 2.60
Zn 0.5000 0.5000 0.0000 x1  4 Al 2.59
Si 0.0000 0.0000 0.0000 x1  4 Al 2.59
Si 0.0000 0.5000 0.6264 x2  5 Al 2.60-2.63

- Electronic total energy: -0.3217 Ry per atom
- Formation energy from raw total energies: -304 meV/atom

A plane-wave DFT calculation with GGA-PBE was carried out for a relaxed structure of AcAlZnSi2.

a = 4.2359 Å, b = 4.2359 Å, c = 11.3612 Å
α = 90.00°, β = 90.00°, γ = 90.00°
With the nearest neighbours (Å) after each atom.
Space group I-4m2 (No. 119)
Unique sites:
Ac 0.0000 0.0000 0.0000 x2  8 Si 3.29, 4 Al 3.54, 4 Zn 3.54
Al 0.0000 0.5000 0.7500 x2  4 Si 2.59
Zn 0.0000 0.5000 0.2500 x2  4 Si 2.59
Si 0.0000 0.0000 0.3810 x4  2 Al 2.59, 2 Zn 2.59, 1 Si 2.70

- Electronic total energy: -0.3198 Ry per atom
- Formation energy from raw total energies: -356 meV/atom

A plane-wave DFT calculation with GGA-PBE was carried out for a relaxed structure of AcSmAl3.

a = 4.6038 Å, b = 27.0537 Å, c = 4.4320 Å
α = 90.00°, β = 90.00°, γ = 90.00°
With the nearest neighbours (Å) after each atom.
Space group Cmcm (No. 63)
Unique sites:
Ac 0.0000 0.0746 0.2500 x4  12 Al 3.45-3.59
Sm 0.0000 0.2043 0.7500 x4  7 Al 3.20-3.28
Al 0.0000 0.3238 0.7500 x4  2 Al 2.65
Al 0.0000 0.3778 0.2500 x4  3 Al 2.64-2.65
Al 0.0000 0.4755 0.2500 x4  3 Al 2.58-2.64

- Electronic total energy: -0.3225 Ry per atom
- Formation energy: -0.376 eV/atom

A plane-wave DFT calculation with GGA-PBE was carried out for a relaxed structure of AcSm2Al.

a = 5.1694 Å, b = 5.1694 Å, c = 17.8843 Å
α = 90.00°, β = 90.00°, γ = 120.00°
With the nearest neighbours (Å) after each atom.
Space group R3m (No. 160, hexagonal axes)
Unique sites:
Ac 0.0000 0.0000 0.0000 x3  4 Al 3.48-3.88, 7 Sm 3.62-3.83
Sm 0.0000 0.0000 0.5524 x3  3 Al 3.02
Sm 0.0000 0.0000 0.7859 x3  3 Al 3.27, 3 Sm 3.48
Al 0.0000 0.0000 0.1943 x3  6 Sm 3.02-3.27

- Electronic total energy: -0.3153 Ry per atom
- Formation energy: 0.032 eV/atom
- Energy above the lowest structure with this stoichiometry: 0.72 eV per formula unit

A plane-wave DFT calculation with GGA-PBE was carried out for a relaxed structure of AcSm2Al.

a = 7.8993 Å, b = 7.8993 Å, c = 7.8993 Å
α = 90.00°, β = 90.00°, γ = 90.00°
With the nearest neighbours (Å) after each atom.
Space group Fm-3m (No. 225)
Unique sites:
Ac 0.0000 0.0000 0.0000 x4  8 Sm 3.42
Sm 0.2500 0.2500 0.2500 x8  4 Ac 3.42, 4 Al 3.42
Al 0.0000 0.0000 0.5000 x4  8 Sm 3.42

- Electronic total energy: -0.3137 Ry per atom
- Formation energy: 0.054 eV/atom
- Energy above the lowest structure with this stoichiometry: 0.80 eV per formula unit

A plane-wave DFT calculation with GGA-PBE was carried out for a relaxed structure of AcSm2Al.

a = 4.9851 Å, b = 4.9851 Å, c = 4.9917 Å
α = 90.00°, β = 90.00°, γ = 90.00°
With the nearest neighbours (Å) after each atom.
Space group P4/mmm (No. 123)
Unique sites:
Ac 0.0000 0.0000 0.0000 x1  4 Al 3.52, 8 Sm 3.53
Sm 0.0000 0.5000 0.5000 x2  4 Sm 3.52, 4 Al 3.53, 4 Ac 3.53
Al 0.5000 0.5000 0.0000 x1  4 Ac 3.52, 8 Sm 3.53

- Electronic total energy: -0.3245 Ry per atom
- Formation energy: -0.092 eV/atom
- Energy above the lowest structure with this stoichiometry: 0.22 eV per formula unit

A plane-wave DFT calculation with GGA-PBE was carried out for a relaxed structure of AcSm2Al6.

a = 7.9582 Å, b = 7.9582 Å, c = 3.9312 Å
α = 90.00°, β = 90.00°, γ = 120.00°
With the nearest neighbours (Å) after each atom.
Space group P6/mmm (No. 191)
Unique sites:
Ac 0.0000 0.0000 0.0000 x1  12 Al 3.33
Sm 0.3333 0.6667 0.0000 x2  12 Al 3.29
Al 0.0000 0.3376 0.5000 x6  3 Al 2.58-2.69

- Electronic total energy: -0.3243 Ry per atom
- Formation energy: -0.412 eV/atom